First-principles (PBE-GGA) data for crystalline Na2Te2Pt at its relaxed geometry, as listed in the Alexandria database.

```
Na2Te2Pt
1.0
7.3220 0.0000 0.0000
0.0000 7.3220 0.0000
0.0000 0.0000 4.9359
Na Te Pt
4 4 2
Cartesian
1.1540 4.8150 2.4679
4.8150 6.1680 2.4679
6.1680 2.5070 2.4679
2.5070 1.1540 2.4679
2.4574 6.1184 0.0000
6.1184 4.8647 0.0000
4.8647 1.2036 0.0000
1.2036 2.4574 0.0000
0.0000 0.0000 0.0000
3.6610 3.6610 0.0000
```

* crystal system: tetragonal
* raw formation energy: -0.53 eV per atom
* SG: P4/mbm (127)

=====

First-principles (PBE-GGA) data for crystalline Sc2Co2Mo at its relaxed geometry, as listed in the Alexandria database.

```
Sc2Co2Mo
1.0
-5.7194 2.0159 1.4799
-0.6454 -4.7587 3.9879
1.6123 2.3362 3.0486
Sc Mo Co
4 2 4
Cartesian
-0.6449 -1.6975 4.4876
-3.5985 -1.3817 5.8076
-4.1077 1.2909 4.0289
-1.1541 0.9751 2.7089
0.0000 0.0000 0.0000
-3.1824 -1.3714 2.7339
-2.6594 -3.3863 4.0013
-5.3679 -1.2636 3.8071
-3.7054 0.6435 1.4665
-0.9969 -1.4792 1.6607
```

* distance to the lowest polymorph of the same formula: 0 meV per atom
* crystal system: tetragonal
* SG: P4/mbm (127)
* formation energy from the elements: -0.136 eV/atom

=====

First-principles (PBE-GGA) data for crystalline Th6TeRh3Se2 at its relaxed geometry, as listed in the Alexandria database.

```
Th6TeRh3Se2
1.0
-0.8952 0.0807 -4.0503
-7.1978 -4.9623 1.4919
-1.9532 9.1583 2.7392
Th Te Rh Se
6 1 3 2
Cartesian
-8.2617 1.2950 1.8517
-5.5105 0.0324 -0.9064
-1.7845 2.9817 -1.6710
-4.7910 7.7216 -0.9121
-5.2552 -3.4448 1.0928
-4.5357 4.2443 1.0871
-0.4476 0.0404 -2.0252
-4.0465 -2.4408 -1.2792
-3.2725 5.3273 -1.2954
-6.7736 -1.0506 1.4761
-6.8574 2.8591 -0.5523
-3.1888 1.4177 0.7330
```

* crystal system: monoclinic
* raw formation energy: -1.14 eV per atom
* SG: C2/m (12)

=====

First-principles (PBE-GGA) data for crystalline La2HOs at its relaxed geometry, as listed in the Alexandria database.

```
La2HOs
1.0
0.0000 3.4790 3.4790
3.4790 0.0000 3.4790
3.4790 3.4790 0.0000
H Os La
1 1 2
Cartesian
0.0000 0.0000 0.0000
3.4790 3.4790 3.4790
1.7395 1.7395 1.7395
5.2185 5.2185 5.2185
```

* distance to the lowest polymorph of the same formula: 100 meV per atom
* crystal system: cubic
* SG: Fm-3m (225)